No. 1
{"formula": "MgZnTc2", "functional": "PBE", "state": "relaxed", "lattice": [[5.102, -0.002, 0.000], [-2.380, 4.512, 0.000], [0.000, 0.000, 2.633]], "species": ["Mg", "Tc", "Tc", "Zn"], "fractional_positions": [[0.000, 0.500, 0.500], [0.000, 0.000, 0.000], [0.500, 0.500, 0.000], [0.500, 0.000, 0.500]], "ef_mev_per_atom": 249.3, "e_above_lowest_polymorph_mev_per_atom": 301, "sg": "Cmmm (65)"}

No. 2
{"formula": "LiIF", "functional": "PBE", "state": "relaxed", "lattice": [[3.867, 0.000, 0.000], [-1.934, 4.190, 0.834], [0.000, -0.538, 8.585]], "species": ["I", "I", "F", "F", "Li", "Li"], "fractional_positions": [[0.063, 0.125, 0.138], [0.937, 0.875, 0.862], [0.213, 0.426, 0.395], [0.787, 0.574, 0.605], [0.236, 0.471, 0.612], [0.764, 0.529, 0.388]], "e_form_raw_mev_per_atom": -1732, "sg": "C2/m (12)"}

Number 1: E -5.6509 eV/atom. Number 2: E -3.5100 eV/atom.